Record 1
Computed, not measured: crystalline Cs4Ac3NdO8 at its relaxed geometry at the GGA-PBE level of DFT.

```
Cs4Ac3NdO8
1.0
-0.3689 3.1499 -7.0479
-3.4370 -6.9648 -2.9328
-3.4543 3.4802 5.9737
Cs Ac O Nd
4 3 8 1
Direct
0.5000 0.0000 0.0000
0.0000 0.0000 0.0000
0.0000 0.0000 0.5000
0.5000 0.0000 0.5000
0.5000 0.5000 0.5000
0.0000 0.5000 0.5000
0.5000 0.5000 0.0000
0.7809 0.3279 0.0469
0.7340 0.6721 0.9531
0.7249 0.6745 0.4498
0.2660 0.3279 0.0469
0.2191 0.6721 0.4383
0.2191 0.6721 0.9531
0.7809 0.3279 0.5617
0.2751 0.3255 0.5502
0.0000 0.5000 0.0000
```

Values from the calculation:
Space-group type: R-3m, No. 166
Formation energy (no corrections) in meV per atom: -2496
V in Å³ per cell: 362.0
Fermi-level density of states in states/eV/f.u.: 0.0

Record 2
Computed, not measured: crystalline Cs3Ac2NdO6 at its relaxed geometry at the GGA-PBE level of DFT.

```
Cs3Ac2NdO6
1.0
-2.9563 2.4499 5.4440
-2.9623 -4.8179 -3.5202
5.1702 -4.0429 3.2743
O Ac Cs Nd
6 2 3 1
Direct
0.0575 0.3792 0.1723
0.2644 0.2644 0.8271
0.9425 0.6208 0.8277
0.7356 0.7356 0.1729
0.3792 0.0575 0.1723
0.6208 0.9425 0.8277
0.6667 0.3333 0.0000
0.3333 0.6667 0.0000
0.5000 0.5000 0.5000
0.8355 0.1645 0.5000
0.1645 0.8355 0.5000
0.0000 0.0000 0.0000
```

Values from the calculation:
Space-group type: C2/m, No. 12
Formation energy (no corrections) in meV per atom: -2499
V in Å³ per cell: 268.7
Fermi-level density of states in states/eV/f.u.: 0.0